Record 1
## Tl5Cd4Hg2 (PBE-GGA)

Data for a relaxed structure of Tl5Cd4Hg2.

Structure (CIF):
```
data_Tl5Cd4Hg2
_space_group_name_H-M_alt 'I m m m'
_space_group_IT_number 71
_space_group_name_Hall '-I 2 2'
_cell_length_a 3.221
_cell_length_b 8.974
_cell_length_c 21.918
_cell_angle_alpha 90.00
_cell_angle_beta 90.00
_cell_angle_gamma 90.00
loop_
_atom_site_label
_atom_site_fract_x
_atom_site_fract_y
_atom_site_fract_z
Tl1 0.000 0.000 0.000
Tl2 0.000 0.310 0.355
Cd1 0.000 0.189 0.500
Cd2 0.000 0.500 0.093
Hg1 0.000 0.500 0.230
```

Properties
Energy above the most stable polymorph in this dataset, eV/atom: 0.000



Record 2
## Tl4Cd2Hg (PBE-GGA)

Data for a relaxed structure of Tl4Cd2Hg.

Structure (CIF):
```
data_Tl4Cd2Hg
_space_group_name_H-M_alt 'P 1'
_space_group_IT_number 1
_cell_length_a 7.666
_cell_length_b 7.803
_cell_length_c 7.827
_cell_angle_alpha 103.56
_cell_angle_beta 108.04
_cell_angle_gamma 105.23
loop_
_space_group_symop_operation_xyz
'x,y,z'
loop_
_atom_site_label
_atom_site_fract_x
_atom_site_fract_y
_atom_site_fract_z
Tl1 0.000 0.000 0.000
Tl2 0.059 0.587 0.161
Tl3 0.207 0.024 0.575
Tl4 0.300 0.747 0.853
Tl5 0.423 0.390 0.355
Tl6 0.632 0.204 0.056
Tl7 0.728 0.802 0.247
Tl8 0.801 0.235 0.681
Cd1 0.268 0.363 0.923
Cd2 0.414 0.975 0.288
Cd3 0.552 0.820 0.614
Cd4 0.876 0.644 0.579
Hg1 0.036 0.334 0.435
Hg2 0.614 0.527 0.820
```

Properties
Energy above the most stable polymorph in this dataset, eV/atom: 0.000



Record 3
## TlCd5Hg (PBE-GGA)

Data for a relaxed structure of TlCd5Hg.

Structure (CIF):
```
data_TlCd5Hg
_space_group_name_H-M_alt 'P 4/m m m'
_space_group_IT_number 123
_space_group_name_Hall '-P 4 2'
_cell_length_a 4.463
_cell_length_b 4.463
_cell_length_c 9.145
_cell_angle_alpha 90.00
_cell_angle_beta 90.00
_cell_angle_gamma 90.00
loop_
_atom_site_label
_atom_site_fract_x
_atom_site_fract_y
_atom_site_fract_z
Tl1 0.000 0.000 0.000
Cd1 0.000 0.000 0.500
Cd2 0.000 0.500 0.248
Hg1 0.500 0.500 0.500
```

Properties
Energy above the most stable polymorph in this dataset, eV/atom: 0.005



Record 4
## Tl3CdHg2 (PBE-GGA)

Data for a relaxed structure of Tl3CdHg2.

Structure (CIF):
```
data_Tl3CdHg2
_space_group_name_H-M_alt 'C 1 2/m 1'
_space_group_IT_number 12
_cell_length_a 18.084
_cell_length_b 3.422
_cell_length_c 13.061
_cell_angle_alpha 90.00
_cell_angle_beta 120.44
_cell_angle_gamma 90.00
loop_
_space_group_symop_operation_xyz
'x,y,z'
'-x,-y,-z'
'-x,y,-z'
'x,-y,z'
'x+1/2,y+1/2,z'
'-x+1/2,-y+1/2,-z'
'-x+1/2,y+1/2,-z'
'x+1/2,-y+1/2,z'
loop_
_atom_site_label
_atom_site_fract_x
_atom_site_fract_y
_atom_site_fract_z
Tl1 0.040 0.000 0.150
Tl2 0.171 0.500 0.067
Tl3 0.249 0.000 0.630
Cd1 0.085 0.500 0.620
Hg1 0.085 0.500 0.390
Hg2 0.131 0.000 0.834
```

Properties
Energy above the most stable polymorph in this dataset, eV/atom: 0.006



Record 5
## Tl6Cd2Hg3 (PBE-GGA)

Data for a relaxed structure of Tl6Cd2Hg3.

Structure (CIF):
```
data_Tl6Cd2Hg3
_space_group_name_H-M_alt 'P -1'
_space_group_IT_number 2
_cell_length_a 6.406
_cell_length_b 6.433
_cell_length_c 8.954
_cell_angle_alpha 81.68
_cell_angle_beta 81.27
_cell_angle_gamma 62.06
loop_
_space_group_symop_operation_xyz
'x,y,z'
'-x,-y,-z'
loop_
_atom_site_label
_atom_site_fract_x
_atom_site_fract_y
_atom_site_fract_z
Tl1 0.054 0.283 0.386
Tl2 0.185 0.754 0.211
Tl3 0.261 0.260 0.006
Cd1 0.400 0.107 0.659
Hg1 0.290 0.736 0.841
Hg2 0.500 0.500 0.500
```



Record 6
## Tl3Cd2Hg3 (PBE-GGA)

Data for a relaxed structure of Tl3Cd2Hg3.

Structure (CIF):
```
data_Tl3Cd2Hg3
_space_group_name_H-M_alt 'P -1'
_space_group_IT_number 2
_cell_length_a 4.321
_cell_length_b 5.110
_cell_length_c 10.503
_cell_angle_alpha 77.35
_cell_angle_beta 78.48
_cell_angle_gamma 89.86
loop_
_space_group_symop_operation_xyz
'x,y,z'
'-x,-y,-z'
loop_
_atom_site_label
_atom_site_fract_x
_atom_site_fract_y
_atom_site_fract_z
Tl1 0.000 0.000 0.000
Tl2 0.130 0.629 0.743
Cd1 0.247 0.248 0.503
Hg1 0.363 0.863 0.275
Hg2 0.500 0.500 0.000
```

Properties
Energy above the most stable polymorph in this dataset, eV/atom: 0.000



Record 7
## TlCd4Hg4 (PBE-GGA)

Data for a relaxed structure of TlCd4Hg4.

Structure (CIF):
```
data_TlCd4Hg4
_space_group_name_H-M_alt 'P 42/n m c'
_space_group_IT_number 137
_cell_length_a 6.824
_cell_length_b 6.824
_cell_length_c 10.216
_cell_angle_alpha 90.00
_cell_angle_beta 90.00
_cell_angle_gamma 90.00
loop_
_space_group_symop_operation_xyz
'x,y,z'
'-x,-y,-z'
'-y+1/2,x,z+1/2'
'y+1/2,-x,-z+1/2'
'-x+1/2,-y+1/2,z'
'x+1/2,y+1/2,-z'
'y,-x+1/2,z+1/2'
'-y,x+1/2,-z+1/2'
'x+1/2,-y,-z'
'-x+1/2,y,z'
'-y,-x,-z+1/2'
'y,x,z+1/2'
'-x,y+1/2,-z'
'x,-y+1/2,z'
'y+1/2,x+1/2,-z+1/2'
'-y+1/2,-x+1/2,z+1/2'
loop_
_atom_site_label
_atom_site_fract_x
_atom_site_fract_y
_atom_site_fract_z
Tl1 0.250 0.750 0.250
Cd1 0.034 0.250 0.180
Hg1 0.010 0.250 0.472
```

Properties
Energy above the most stable polymorph in this dataset, eV/atom: 0.006



Record 8
## Tl4CdHg (PBE-GGA)

Data for a relaxed structure of Tl4CdHg.

Structure (CIF):
```
data_Tl4CdHg
_space_group_name_H-M_alt 'C 1 2/c 1'
_space_group_IT_number 15
_cell_length_a 10.178
_cell_length_b 13.524
_cell_length_c 6.102
_cell_angle_alpha 90.00
_cell_angle_beta 123.05
_cell_angle_gamma 90.00
loop_
_space_group_symop_operation_xyz
'x,y,z'
'-x,-y,-z'
'-x,y,-z+1/2'
'x,-y,z+1/2'
'x+1/2,y+1/2,z'
'-x+1/2,-y+1/2,-z'
'-x+1/2,y+1/2,-z+1/2'
'x+1/2,-y+1/2,z+1/2'
loop_
_atom_site_label
_atom_site_fract_x
_atom_site_fract_y
_atom_site_fract_z
Tl1 0.168 0.063 0.195
Tl2 0.171 0.196 0.693
Cd1 0.000 0.396 0.750
Hg1 0.000 0.379 0.250
```

Properties
Energy above the most stable polymorph in this dataset, eV/atom: 0.000



Record 9
## Tl10CdHg6 (PBE-GGA)

Data for a relaxed structure of Tl10CdHg6.

Structure (CIF):
```
data_Tl10CdHg6
_space_group_name_H-M_alt 'P -3 1 m'
_space_group_IT_number 162
_space_group_name_Hall '-P 3 2'
_cell_length_a 9.5702
_cell_length_b 9.5702
_cell_length_c 6.4047
_cell_angle_alpha 90.00
_cell_angle_beta 90.00
_cell_angle_gamma 120.00
loop_
_atom_site_label
_atom_site_fract_x
_atom_site_fract_y
_atom_site_fract_z
Tl1 0.0000 0.2764 0.2184
Tl2 0.3333 0.6667 0.0000
Tl3 0.3333 0.6667 0.5000
Cd1 0.0000 0.0000 0.5000
Hg1 0.0000 0.3772 0.7231
```



Record 10
## TlCd2Hg (PBE-GGA)

Data for a relaxed structure of TlCd2Hg.

Structure (CIF):
```
data_TlCd2Hg
_space_group_name_H-M_alt 'R 3 m'
_space_group_IT_number 160
_space_group_name_Hall 'R 3 -2"'
_cell_length_a 3.4355
_cell_length_b 3.4355
_cell_length_c 30.6752
_cell_angle_alpha 90.00
_cell_angle_beta 90.00
_cell_angle_gamma 120.00
loop_
_atom_site_label
_atom_site_fract_x
_atom_site_fract_y
_atom_site_fract_z
Tl1 0.0000 0.0000 0.0000
Cd1 0.0000 0.0000 0.2456
Cd2 0.0000 0.0000 0.4212
Hg1 0.0000 0.0000 0.8331
```

Properties
Energy above the most stable polymorph in this dataset, eV/atom: 0.019



Computed values of formation enthalpy at 0 K (unit: eV per atom) for the preceding records, in sequence: 0.042; 0.039; 0.066; 0.016; 0.022; 0.003; 0.022; 0.016; 0.016; 0.039.